Entry 1:
# Li2NiMo PBE-GGA optimized geometry
# Density: 5.05 g/cm3
# Formation energy from the elements: 0.248 eV per atom
# Polymorph energy (0 for the lowest one): 0.0934 eV/atom
# Volume: 13.9 Å³/atom
# Crystal system: monoclinic
data_Li2NiMo
_cell_length_a 8.5461
_cell_length_b 2.5328
_cell_length_c 5.1480
_cell_angle_alpha 90.00
_cell_angle_beta 95.75
_cell_angle_gamma 90.00
_symmetry_space_group_name_H-M 'C 1 m 1'
_symmetry_Int_Tables_number 8
loop_
_symmetry_equiv_pos_as_xyz
'x,y,z'
'x,-y,z'
'x+1/2,y+1/2,z'
'x+1/2,-y+1/2,z'
loop_
_atom_site_label
_atom_site_type_symbol
_atom_site_fract_x
_atom_site_fract_y
_atom_site_fract_z
Li1 Li 0.0000 0.0000 0.0000
Li2 Li 0.2425 0.0000 0.8042
Ni1 Ni 0.2309 0.5000 0.3053
Mo1 Mo 0.4798 0.0000 0.4728

=====

Entry 2:
# KAcO PBE-GGA optimized geometry
# Density: 3.77 g/cm3
# Polymorph energy (0 for the lowest one): 0.0000 eV/atom
# Volume: 41.4 Å³/atom
# Crystal system: orthorhombic
data_KAcO
_cell_length_a 7.6154
_cell_length_b 4.4835
_cell_length_c 14.5521
_cell_angle_alpha 90.00
_cell_angle_beta 90.00
_cell_angle_gamma 90.00
_symmetry_space_group_name_H-M 'P n m a'
_symmetry_Int_Tables_number 62
loop_
_symmetry_equiv_pos_as_xyz
'x,y,z'
'-x,-y,-z'
'-x+1/2,-y,z+1/2'
'x+1/2,y,-z+1/2'
'x+1/2,-y+1/2,-z+1/2'
'-x+1/2,y+1/2,z+1/2'
'-x,y+1/2,-z'
'x,-y+1/2,z'
loop_
_atom_site_label
_atom_site_type_symbol
_atom_site_fract_x
_atom_site_fract_y
_atom_site_fract_z
K1 K 0.0818 0.2500 0.1231
Ac1 Ac 0.0411 0.7500 0.3970
O1 O 0.0397 0.7500 0.5612

=====

Entry 3:
# ZnCu2Te PBE-GGA optimized geometry
# Density: 7.33 g/cm3
# Polymorph energy (0 for the lowest one): 0.0998 eV/atom
# Volume: 18.1 Å³/atom
# Crystal system: orthorhombic
data_ZnCu2Te
_cell_length_a 4.2726
_cell_length_b 5.4842
_cell_length_c 6.1898
_cell_angle_alpha 90.00
_cell_angle_beta 90.00
_cell_angle_gamma 90.00
_symmetry_space_group_name_H-M 'I m m m'
_symmetry_Int_Tables_number 71
_symmetry_space_group_name_Hall '-I 2 2'
loop_
_atom_site_label
_atom_site_type_symbol
_atom_site_fract_x
_atom_site_fract_y
_atom_site_fract_z
Zn1 Zn 0.0000 0.0000 0.0000
Cu1 Cu 0.0000 0.5000 0.2966
Te1 Te 0.0000 0.0000 0.5000

=====

Entry 4:
# TiSnCl2 PBE-GGA optimized geometry
# Density: 4.05 g/cm3
# Polymorph energy (0 for the lowest one): 0.0000 eV/atom
# Volume: 24.4 Å³/atom
# Crystal system: trigonal
data_TiSnCl2
_cell_length_a 3.2231
_cell_length_b 3.2231
_cell_length_c 32.5053
_cell_angle_alpha 90.00
_cell_angle_beta 90.00
_cell_angle_gamma 120.00
_symmetry_space_group_name_H-M 'R -3 m'
_symmetry_Int_Tables_number 166
_symmetry_space_group_name_Hall '-R 3 2"'
loop_
_atom_site_label
_atom_site_type_symbol
_atom_site_fract_x
_atom_site_fract_y
_atom_site_fract_z
Ti1 Ti 0.0000 0.0000 0.0000
Sn1 Sn 0.0000 0.0000 0.5000
Cl1 Cl 0.0000 0.0000 0.3833

=====

Entry 5:
# PmTmTe2 PBE-GGA optimized geometry
# Density: 6.23 g/cm3
# Polymorph energy (0 for the lowest one): 0.3924 eV/atom
# Volume: 37.9 Å³/atom
# Crystal system: orthorhombic
data_PmTmTe2
_cell_length_a 4.4991
_cell_length_b 9.7725
_cell_length_c 6.9034
_cell_angle_alpha 90.00
_cell_angle_beta 90.00
_cell_angle_gamma 90.00
_symmetry_space_group_name_H-M 'P m n 21'
_symmetry_Int_Tables_number 31
loop_
_symmetry_equiv_pos_as_xyz
'x,y,z'
'-x+1/2,-y,z+1/2'
'-x,y,z'
'x+1/2,-y,z+1/2'
loop_
_atom_site_label
_atom_site_type_symbol
_atom_site_fract_x
_atom_site_fract_y
_atom_site_fract_z
Pm1 Pm 0.0000 0.0862 0.0000
Tm1 Tm 0.0000 0.6730 0.8432
Te1 Te 0.0000 0.4145 0.0964
Te2 Te 0.0000 0.8171 0.2176

=====

Entry 6:
# Ca2AlGa2Pd5 PBE-GGA optimized geometry
# Density: 7.23 g/cm3
# Formation energy from the elements: -0.740 eV per atom
# Volume: 17.9 Å³/atom
# Crystal system: tetragonal
data_Ca2AlGa2Pd5
_cell_length_a 10.2535
_cell_length_b 10.2535
_cell_length_c 3.4020
_cell_angle_alpha 90.00
_cell_angle_beta 90.00
_cell_angle_gamma 90.00
_symmetry_space_group_name_H-M 'P 4/m b m'
_symmetry_Int_Tables_number 127
_symmetry_space_group_name_Hall '-P 4 2ab'
loop_
_atom_site_label
_atom_site_type_symbol
_atom_site_fract_x
_atom_site_fract_y
_atom_site_fract_z
Ca1 Ca 0.1735 0.3265 0.0000
Al1 Al 0.0000 0.0000 0.0000
Ga1 Ga 0.1283 0.6283 0.0000
Pd1 Pd 0.0000 0.5000 0.5000
Pd2 Pd 0.0572 0.8042 0.5000

=====

Entry 7:
# VCrGe2 PBE-GGA optimized geometry
# Density: 7.28 g/cm3
# Formation energy from the elements: 0.103 eV per atom
# Polymorph energy (0 for the lowest one): 0.1714 eV/atom
# Volume: 14.2 Å³/atom
# Crystal system: tetragonal
data_VCrGe2
_cell_length_a 4.4973
_cell_length_b 4.4973
_cell_length_c 2.8009
_cell_angle_alpha 90.00
_cell_angle_beta 90.00
_cell_angle_gamma 90.00
_symmetry_space_group_name_H-M 'P 4/m m m'
_symmetry_Int_Tables_number 123
_symmetry_space_group_name_Hall '-P 4 2'
loop_
_atom_site_label
_atom_site_type_symbol
_atom_site_fract_x
_atom_site_fract_y
_atom_site_fract_z
V1 V 0.0000 0.0000 0.0000
Cr1 Cr 0.5000 0.5000 0.0000
Ge1 Ge 0.0000 0.5000 0.5000

=====

Entry 8:
# PrIn4Au PBE-GGA optimized geometry
# Density: 8.17 g/cm3
# Formation energy from the elements: -0.276 eV per atom
# Volume: 27.0 Å³/atom
# Crystal system: orthorhombic
data_PrIn4Au
_cell_length_a 4.8342
_cell_length_b 21.2017
_cell_length_c 6.3218
_cell_angle_alpha 90.00
_cell_angle_beta 90.00
_cell_angle_gamma 90.00
_symmetry_space_group_name_H-M 'C m c 21'
_symmetry_Int_Tables_number 36
loop_
_symmetry_equiv_pos_as_xyz
'x,y,z'
'-x,-y,z+1/2'
'-x,y,z'
'x,-y,z+1/2'
'x+1/2,y+1/2,z'
'-x+1/2,-y+1/2,z+1/2'
'-x+1/2,y+1/2,z'
'x+1/2,-y+1/2,z+1/2'
loop_
_atom_site_label
_atom_site_type_symbol
_atom_site_fract_x
_atom_site_fract_y
_atom_site_fract_z
Pr1 Pr 0.0000 0.1339 0.0000
In1 In 0.0000 0.0703 0.5179
In2 In 0.0000 0.2656 0.6561
In3 In 0.0000 0.3132 0.1546
In4 In 0.0000 0.4681 0.3375
Au1 Au 0.0000 0.3980 0.7848

=====

Entry 9:
# BeAs3Br PBE-GGA optimized geometry
# Density: 4.02 g/cm3
# Polymorph energy (0 for the lowest one): 1.0497 eV/atom
# Volume: 25.9 Å³/atom
# Crystal system: cubic
data_BeAs3Br
_cell_length_a 5.0587
_cell_length_b 5.0587
_cell_length_c 5.0587
_cell_angle_alpha 90.00
_cell_angle_beta 90.00
_cell_angle_gamma 90.00
_symmetry_space_group_name_H-M 'P m -3 m'
_symmetry_Int_Tables_number 221
_symmetry_space_group_name_Hall '-P 4 2 3'
loop_
_atom_site_label
_atom_site_type_symbol
_atom_site_fract_x
_atom_site_fract_y
_atom_site_fract_z
Be1 Be 0.0000 0.0000 0.0000
As1 As 0.0000 0.5000 0.5000
Br1 Br 0.5000 0.5000 0.5000

=====

Entry 10:
# VS3I PBE-GGA optimized geometry
# Density: 3.53 g/cm3
# Polymorph energy (0 for the lowest one): 1.4765 eV/atom
# Volume: 25.8 Å³/atom
# Crystal system: cubic
data_VS3I
_cell_length_a 5.0514
_cell_length_b 5.0514
_cell_length_c 5.0514
_cell_angle_alpha 90.00
_cell_angle_beta 90.00
_cell_angle_gamma 90.00
_symmetry_space_group_name_H-M 'P m -3 m'
_symmetry_Int_Tables_number 221
_symmetry_space_group_name_Hall '-P 4 2 3'
loop_
_atom_site_label
_atom_site_type_symbol
_atom_site_fract_x
_atom_site_fract_y
_atom_site_fract_z
V1 V 0.0000 0.0000 0.0000
S1 S 0.0000 0.5000 0.5000
I1 I 0.5000 0.5000 0.5000

=====

Look up the volume of the seventh one. 14.2 Å³/atom

=====

What did the fifth record say?
# PmTmTe2 PBE-GGA optimized geometry
# Density: 6.23 g/cm3
# Polymorph energy (0 for the lowest one): 0.3924 eV/atom
# Volume: 37.9 Å³/atom
# Crystal system: orthorhombic
data_PmTmTe2
_cell_length_a 4.4991
_cell_length_b 9.7725
_cell_length_c 6.9034
_cell_angle_alpha 90.00
_cell_angle_beta 90.00
_cell_angle_gamma 90.00
_symmetry_space_group_name_H-M 'P m n 21'
_symmetry_Int_Tables_number 31
loop_
_symmetry_equiv_pos_as_xyz
'x,y,z'
'-x+1/2,-y,z+1/2'
'-x,y,z'
'x+1/2,-y,z+1/2'
loop_
_atom_site_label
_atom_site_type_symbol
_atom_site_fract_x
_atom_site_fract_y
_atom_site_fract_z
Pm1 Pm 0.0000 0.0862 0.0000
Tm1 Tm 0.0000 0.6730 0.8432
Te1 Te 0.0000 0.4145 0.0964
Te2 Te 0.0000 0.8171 0.2176

=====

Among the records above, which one has the lowest density? VS3I

=====

Repeat the tenth record exactly.
# VS3I PBE-GGA optimized geometry
# Density: 3.53 g/cm3
# Polymorph energy (0 for the lowest one): 1.4765 eV/atom
# Volume: 25.8 Å³/atom
# Crystal system: cubic
data_VS3I
_cell_length_a 5.0514
_cell_length_b 5.0514
_cell_length_c 5.0514
_cell_angle_alpha 90.00
_cell_angle_beta 90.00
_cell_angle_gamma 90.00
_symmetry_space_group_name_H-M 'P m -3 m'
_symmetry_Int_Tables_number 221
_symmetry_space_group_name_Hall '-P 4 2 3'
loop_
_atom_site_label
_atom_site_type_symbol
_atom_site_fract_x
_atom_site_fract_y
_atom_site_fract_z
V1 V 0.0000 0.0000 0.0000
S1 S 0.0000 0.5000 0.5000
I1 I 0.5000 0.5000 0.5000